Entry 1:
MnTlTe2: relaxed, PBE-GGA.

Results
raw total energy: -4.3704 eV per atom
formation energy (no corrections): 84 meV per atom
DOS(E_F): 1.36 states/eV per cell
calculated volume: 117.96 Å³ per cell
total magnetic moment: 1.06 μB/atom

Lattice parameters (Å, degrees): 7.812 7.812 7.812 31.85 31.85 31.85
Last column: magnetic moment on the atom in μB.
Sites, in units of the cell vectors:
Tl (0.506, 0.506, 0.506)  -0.02
Te (0.974, 0.974, 0.974)  -0.07
Te (0.764, 0.764, 0.764)  -0.03
Mn (0.256, 0.256, 0.256)  4.01

Entry 2:
TlAgHg2: relaxed, PBE-GGA.

Results
raw total energy: -1.3846 eV per atom
energy of formation: 0.071 eV per atom
DOS(E_F): 1.45 states/eV per cell
calculated volume: 104.95 Å³ per cell
total magnetic moment: 0.00 μB/atom

Lattice parameters (Å, degrees): 7.168 7.168 7.168 152.91 141.10 48.05
Sites, in units of the cell vectors:
Hg (0.750, 0.250, 0.500)
Hg (0.057, 0.057, 0.000)
Ag (0.245, 0.745, 0.500)
Tl (0.448, 0.448, 0.000)

Entry 3:
HfNbC3: relaxed, PBE-GGA.

Results
raw total energy: -8.1789 eV per atom
energy of formation: 1.360 eV per atom
DOS(E_F): 5.46 states/eV per cell
calculated volume: 67.77 Å³ per cell
total magnetic moment: 0.00 μB/atom

Lattice parameters (Å, degrees): 4.077 4.077 4.077 90.00 90.00 90.00
Sites, in units of the cell vectors:
Hf (0.500, 0.500, 0.500)
C (0.500, 0.000, 0.000)
C (0.000, 0.000, 0.500)
C (0.000, 0.500, 0.000)
Nb (0.000, 0.000, 0.000)